Below is a geometry-optimized Cs2NbCuI6 structure, with properties calculated at the GGA-PBE level.

Cell and atoms, written as POSCAR:
```
Cs2NbCuI6
1.0
-6.940 -1.549 4.098
3.870 -5.767 4.374
-0.083 0.322 8.199
Cs I Nb Cu
2 6 1 1
direct
0.750 0.250 0.500
0.250 0.750 0.500
0.249 0.249 0.501
0.751 0.751 0.499
0.249 0.249 0.000
0.751 0.751 0.000
0.751 0.249 0.000
0.249 0.751 0.000
0.000 0.000 0.000
0.500 0.500 0.000
```

Values from the calculation:
Energy, eV per atom: -3.239
ΔE_f (raw), kcal/mol of atoms: -16.6



Below is a geometry-optimized Cs2NdCu2I6 structure, with properties calculated at the GGA-PBE level.

Cell and atoms, written as POSCAR:
```
Cs2NdCu2I6
1.0
-4.110 -5.170 5.851
8.576 -0.288 -0.882
-3.474 7.232 3.950
Cs Nd Cu I
2 1 2 6
direct
0.732 0.464 0.212
0.268 0.536 0.788
0.500 0.000 0.500
0.935 0.871 0.727
0.065 0.129 0.273
0.752 0.504 0.694
0.223 0.940 0.221
0.284 0.060 0.779
0.777 0.060 0.779
0.716 0.940 0.221
0.248 0.496 0.306
```

Values from the calculation:
Energy, eV per atom: -3.070
ΔE_f (raw), kcal/mol of atoms: -20.6



Below is a geometry-optimized CsNdCuI5 structure, with properties calculated at the GGA-PBE level.

Cell and atoms, written as POSCAR:
```
CsNdCuI5
1.0
-0.920 8.526 0.135
-7.290 -3.096 3.290
7.989 -2.146 8.225
Cs Nd Cu I
2 2 2 10
direct
0.358 0.642 0.250
0.642 0.358 0.750
0.000 0.000 0.500
0.000 0.000 0.000
0.691 0.309 0.250
0.309 0.691 0.750
0.081 0.919 0.250
0.919 0.081 0.750
0.901 0.316 0.118
0.099 0.684 0.882
0.684 0.099 0.382
0.316 0.901 0.618
0.777 0.612 0.426
0.223 0.388 0.574
0.388 0.223 0.074
0.612 0.777 0.926
```

Values from the calculation:
Energy, eV per atom: -3.291
ΔE_f (raw), kcal/mol of atoms: -25.5



Below is a geometry-optimized Cs3NdCu2I9 structure, with properties calculated at the GGA-PBE level.

Cell and atoms, written as POSCAR:
```
Cs3NdCu2I9
1.0
-0.791 -5.330 6.365
3.972 -2.358 -6.944
8.953 3.405 3.965
Cs Nd Cu I
3 1 2 9
direct
0.333 0.667 0.674
0.000 0.000 0.000
0.667 0.333 0.326
0.000 0.000 0.500
0.333 0.667 0.132
0.667 0.333 0.868
0.826 0.174 0.676
0.826 0.652 0.676
0.348 0.174 0.676
0.652 0.826 0.324
0.174 0.348 0.324
0.174 0.826 0.324
0.500 0.000 0.000
0.000 0.500 0.000
0.500 0.500 0.000
```

Values from the calculation:
Energy, eV per atom: -2.952
ΔE_f (raw), kcal/mol of atoms: -22.8



Below is a geometry-optimized CsNpCu2I8 structure, with properties calculated at the GGA-PBE level.

Cell and atoms, written as POSCAR:
```
CsNpCu2I8
1.0
7.340 -0.380 0.206
3.049 6.688 0.206
0.780 0.473 11.154
Cs Np Cu I
1 1 2 8
direct
0.000 0.000 0.500
0.000 0.000 0.000
0.628 0.628 0.215
0.372 0.372 0.785
0.761 0.267 0.808
0.755 0.755 0.011
0.685 0.685 0.422
0.315 0.315 0.578
0.245 0.245 0.989
0.267 0.761 0.808
0.733 0.239 0.192
0.239 0.733 0.192
```

Values from the calculation:
Energy, eV per atom: -3.475
ΔE_f (raw), kcal/mol of atoms: -14.1



Below is a geometry-optimized Cs2NpCuI6 structure, with properties calculated at the GGA-PBE level.

Cell and atoms, written as POSCAR:
```
Cs2NpCuI6
1.0
-6.095 3.276 -1.401
-2.270 -6.419 -5.137
-2.033 -0.241 8.280
Cs Np Cu I
2 1 1 6
direct
0.260 0.333 0.667
0.740 0.667 0.333
0.500 0.000 0.000
0.000 0.000 0.000
0.766 0.166 0.331
0.766 0.166 0.834
0.766 0.669 0.834
0.234 0.834 0.166
0.234 0.331 0.166
0.234 0.834 0.669
```

Values from the calculation:
Energy, eV per atom: -3.786
ΔE_f (raw), kcal/mol of atoms: -22.6



Below is a geometry-optimized CsCuIO2 structure, with properties calculated at the GGA-PBE level.

Cell and atoms, written as POSCAR:
```
CsCuIO2
1.0
-3.055 2.518 1.596
-2.241 -0.434 -3.607
-3.619 -6.297 3.006
Cs I O Cu
1 1 2 1
direct
0.000 0.000 0.000
0.000 0.000 0.500
0.000 0.500 0.000
0.500 0.000 0.000
0.500 0.500 0.500
```

Values from the calculation:
Energy, eV per atom: -2.735
ΔE_f (raw), kcal/mol of atoms: 12.6
Offset from the most stable computed form, kJ/mol of atoms: 45.6



Below is a geometry-optimized Cs2CuIO6 structure, with properties calculated at the GGA-PBE level.

Cell and atoms, written as POSCAR:
```
Cs2CuIO6
1.0
-3.550 -3.613 1.492
4.706 -3.354 3.075
-3.354 4.620 3.204
Cs Cu I O
2 1 1 6
direct
0.277 0.333 0.667
0.723 0.667 0.333
0.500 0.000 0.000
0.000 0.000 0.000
0.772 0.131 0.263
0.772 0.131 0.869
0.772 0.737 0.869
0.228 0.869 0.131
0.228 0.263 0.131
0.228 0.869 0.737
```

Values from the calculation:
Energy, eV per atom: -4.535
ΔE_f (raw), kcal/mol of atoms: -19.0



Below is a geometry-optimized CsCuI2O structure, with properties calculated at the GGA-PBE level.

Cell and atoms, written as POSCAR:
```
CsCuI2O
1.0
-4.566 4.600 -2.773
-5.308 -3.311 3.248
0.506 2.596 3.472
Cs I O Cu
1 2 1 1
direct
0.000 0.000 0.000
0.000 0.500 0.000
0.500 0.000 0.000
0.000 0.000 0.500
0.500 0.500 0.500
```

Values from the calculation:
Energy, eV per atom: -2.006
ΔE_f (raw), kcal/mol of atoms: 13.7
Offset from the most stable computed form, kJ/mol of atoms: 108.6



Below is a geometry-optimized Cs5CuIO2 structure, with properties calculated at the GGA-PBE level.

Cell and atoms, written as POSCAR:
```
Cs5CuIO2
1.0
6.132 0.000 0.000
0.000 6.132 0.000
0.000 0.000 9.650
Cs Cu I O
5 1 1 2
direct
0.000 0.000 0.500
0.000 0.500 0.795
0.500 0.000 0.205
0.000 0.500 0.205
0.500 0.000 0.795
0.000 0.000 0.000
0.500 0.500 0.500
0.000 0.000 0.190
0.000 0.000 0.810
```

Values from the calculation:
Energy, eV per atom: -3.192
ΔE_f (raw), kcal/mol of atoms: -22.8



Below is a geometry-optimized CsCuIO2 structure, with properties calculated at the GGA-PBE level.

Cell and atoms, written as POSCAR:
```
CsCuIO2
1.0
-4.559 1.178 -0.467
0.115 -1.352 -4.533
-1.370 -4.754 1.383
Cs I O Cu
1 1 2 1
direct
0.500 0.500 0.500
0.000 0.000 0.500
0.000 0.500 0.000
0.500 0.000 0.000
0.000 0.000 0.000
```

Values from the calculation:
Energy, eV per atom: -3.208
ΔE_f (raw), kcal/mol of atoms: 1.7
Offset from the most stable computed form, kJ/mol of atoms: 0.0



Below is a geometry-optimized CsCuI2O structure, with properties calculated at the GGA-PBE level.

Cell and atoms, written as POSCAR:
```
CsCuI2O
1.0
-3.814 2.227 -5.226
2.995 -4.561 -4.129
-2.497 -2.373 0.811
Cs I O Cu
1 2 1 1
direct
0.500 0.500 0.500
0.000 0.500 0.000
0.500 0.000 0.000
0.000 0.000 0.500
0.000 0.000 0.000
```

Values from the calculation:
Energy, eV per atom: -3.131
ΔE_f (raw), kcal/mol of atoms: -12.2
Offset from the most stable computed form, kJ/mol of atoms: 0.0



energy of number 1 (Cs2NbCuI6)? -3.239 eV per atom